# Sn2Ru2Pb

Crystalline Sn2Ru2Pb at its relaxed geometry (PBE, the Alexandria database).

Cell lengths 7.877, 7.877, 3.164 Å; angles 90.00, 90.00, 90.00 degrees
Atoms (fractional coordinates):
Pb: 0.000 0.000 0.000
Pb: 0.500 0.500 0.000
Ru: 0.353 0.853 0.000
Ru: 0.853 0.647 0.000
Ru: 0.647 0.147 0.000
Ru: 0.147 0.353 0.000
Sn: 0.146 0.646 0.500
Sn: 0.646 0.854 0.500
Sn: 0.854 0.354 0.500
Sn: 0.354 0.146 0.500

The calculation puts the density of states at the Fermi level at 6.5 states/eV per cell. Its space group is P4/mbm. The total energy comes out at -5.97 eV/atom. The formation energy is 0.087 eV/atom. The energy above the lowest structure with this stoichiometry comes out at 0.00 eV/f.u.